A plane-wave DFT calculation with PBE was carried out for an optimized crystal structure of RbOsRh2O8.

Lattice parameters (Å, degrees): 4.653 4.824 6.725 87.61 87.32 86.99
Space group P-1 (No. 2)
One atom of each set of equivalent atoms:
Rb  0.000  0.000  0.000 [1 per cell]
Os  0.000  0.000  0.500 [1 per cell]
Rh  0.497  0.497  0.750 [2 per cell]
O  0.211  0.798  0.693 [2 per cell]
O  0.238  0.824  0.304 [2 per cell]
O  0.274  0.307  0.502 [2 per cell]
O  0.294  0.398  0.018 [2 per cell]

* magnetic moment: 0.0 μB per cell
* crystal system: triclinic
* E_form (uncorrected): -658 meV/atom



A plane-wave DFT calculation with PBE was carried out for an optimized crystal structure of RbOs2RhO8.

Lattice parameters (Å, degrees): 5.2610 5.2610 8.8707 90.00 90.00 120.00
Space group P-3 (No. 147)
One atom of each set of equivalent atoms:
Rb  0.0000  0.0000  0.0000 [1 per cell]
Os  0.3333  0.6667  0.7113 [2 per cell]
Rh  0.0000  0.0000  0.5000 [1 per cell]
O  0.0293  0.3353  0.6349 [6 per cell]
O  0.3333  0.6667  0.9108 [2 per cell]

* magnetic moment: 0.0 μB per cell
* crystal system: trigonal
* E_form (uncorrected): -957 meV/atom



A plane-wave DFT calculation with PBE was carried out for an optimized crystal structure of RbOsRh2O.

Lattice parameters (Å, degrees): 4.625 4.625 7.131 90.00 90.00 90.00
Space group P4/mmm (No. 123)
One atom of each set of equivalent atoms:
Rb  0.000  0.000  0.000 [1 per cell]
Os  0.000  0.000  0.500 [1 per cell]
Rh  0.000  0.500  0.500 [2 per cell]
O  0.500  0.500  0.000 [1 per cell]

* magnetic moment: 0.0 μB per cell
* crystal system: tetragonal
* E_form (uncorrected): 1440 meV/atom



A plane-wave DFT calculation with PBE was carried out for an optimized crystal structure of RbOsRuO6.

Lattice parameters (Å, degrees): 7.174 7.277 10.271 90.00 90.00 90.00
Space group Imma (No. 74)
One atom of each set of equivalent atoms:
Rb  0.000  0.250  0.122 [4 per cell]
Os  0.000  0.000  0.500 [4 per cell]
Ru  0.250  0.250  0.750 [4 per cell]
O  0.000  0.250  0.432 [4 per cell]
O  0.000  0.250  0.813 [4 per cell]
O  0.189  0.059  0.621 [16 per cell]

* magnetic moment: 0.0 μB per cell
* crystal system: orthorhombic
* E_form (uncorrected): -1146 meV/atom



A plane-wave DFT calculation with PBE was carried out for an optimized crystal structure of Rb2OsRuO6.

Lattice parameters (Å, degrees): 5.418 5.418 11.470 90.00 90.00 90.00
Space group I4/mmm (No. 139)
One atom of each set of equivalent atoms:
Rb  0.000  0.500  0.250 [4 per cell]
Os  0.000  0.000  0.000 [2 per cell]
Ru  0.000  0.000  0.500 [2 per cell]
O  0.000  0.000  0.336 [4 per cell]
O  0.239  0.239  0.000 [8 per cell]

* magnetic moment: 4.5 μB per cell
* crystal system: tetragonal
* E_form (uncorrected): -1084 meV/atom



A plane-wave DFT calculation with PBE was carried out for an optimized crystal structure of Rb2SbOsO6.

Lattice parameters (Å, degrees): 5.598 5.598 11.439 90.00 90.00 90.00
Space group I4/mmm (No. 139)
One atom of each set of equivalent atoms:
Rb  0.000  0.500  0.250 [4 per cell]
Sb  0.000  0.000  0.000 [2 per cell]
Os  0.000  0.000  0.500 [2 per cell]
O  0.000  0.000  0.165 [4 per cell]
O  0.233  0.233  0.500 [8 per cell]

* magnetic moment: 2.0 μB per cell
* crystal system: tetragonal
* E_form (uncorrected): -1220 meV/atom



A plane-wave DFT calculation with PBE was carried out for an optimized crystal structure of RbScOs2O8.

Lattice parameters (Å, degrees): 8.525 6.204 8.582 90.00 95.24 90.00
Space group C2/m (No. 12)
One atom of each set of equivalent atoms:
Rb  0.000  0.000  0.000 [2 per cell]
Sc  0.000  0.000  0.500 [2 per cell]
Os  0.134  0.500  0.710 [4 per cell]
O  0.066  0.226  0.678 [8 per cell]
O  0.145  0.500  0.916 [4 per cell]
O  0.236  0.000  0.444 [4 per cell]

* magnetic moment: 0.0 μB per cell
* crystal system: monoclinic
* E_form (uncorrected): -1528 meV/atom



A plane-wave DFT calculation with PBE was carried out for an optimized crystal structure of Rb2SmOsO6.

Lattice parameters (Å, degrees): 6.4655 6.4655 5.9286 90.00 90.00 120.00
Space group P-3m1 (No. 164)
One atom of each set of equivalent atoms:
Rb  0.3333  0.6667  0.1106 [2 per cell]
Sm  0.0000  0.0000  0.5000 [1 per cell]
Os  0.0000  0.0000  0.0000 [1 per cell]
O  0.1355  0.2711  0.8015 [6 per cell]

* magnetic moment: 1.0 μB per cell
* crystal system: trigonal
* E_form (uncorrected): -1714 meV/atom



A plane-wave DFT calculation with PBE was carried out for an optimized crystal structure of RbSm2OsO8.

Lattice parameters (Å, degrees): 4.204 5.387 7.365 89.84 74.61 89.35
Space group P-1 (No. 2)
One atom of each set of equivalent atoms:
Rb  0.000  0.000  0.000 [1 per cell]
Sm  0.380  0.514  0.289 [2 per cell]
Os  0.000  0.000  0.500 [1 per cell]
O  0.177  0.497  0.002 [2 per cell]
O  0.187  0.304  0.586 [2 per cell]
O  0.197  0.775  0.630 [2 per cell]
O  0.349  0.960  0.278 [2 per cell]

* magnetic moment: 1.0 μB per cell
* crystal system: triclinic
* E_form (uncorrected): -1937 meV/atom



A plane-wave DFT calculation with PBE was carried out for an optimized crystal structure of Rb2SnOsO.

Lattice parameters (Å, degrees): 6.523 6.523 3.681 90.00 90.00 90.00
Space group P4/mmm (No. 123)
One atom of each set of equivalent atoms:
Rb  0.000  0.500  0.000 [2 per cell]
Sn  0.000  0.000  0.500 [1 per cell]
Os  0.500  0.500  0.500 [1 per cell]
O  0.500  0.500  0.000 [1 per cell]

* magnetic moment: 0.0 μB per cell
* crystal system: tetragonal
* E_form (uncorrected): 61 meV/atom



A plane-wave DFT calculation with PBE was carried out for an optimized crystal structure of RbSnOsO6.

Lattice parameters (Å, degrees): 7.344 7.368 10.624 90.00 90.00 90.00
Space group Imma (No. 74)
One atom of each set of equivalent atoms:
Rb  0.000  0.250  0.113 [4 per cell]
Sn  0.250  0.250  0.750 [4 per cell]
Os  0.000  0.000  0.500 [4 per cell]
O  0.000  0.250  0.457 [4 per cell]
O  0.000  0.250  0.829 [4 per cell]
O  0.182  0.041  0.622 [16 per cell]

* magnetic moment: 4.0 μB per cell
* crystal system: orthorhombic
* E_form (uncorrected): -1294 meV/atom



A plane-wave DFT calculation with PBE was carried out for an optimized crystal structure of Rb2SnOsO6.

Lattice parameters (Å, degrees): 5.755 5.755 11.312 90.00 90.00 90.00
Space group I4/mmm (No. 139)
One atom of each set of equivalent atoms:
Rb  0.000  0.500  0.250 [4 per cell]
Sn  0.000  0.000  0.000 [2 per cell]
Os  0.000  0.000  0.500 [2 per cell]
O  0.000  0.000  0.170 [4 per cell]
O  0.222  0.222  0.500 [8 per cell]

* magnetic moment: 0.0 μB per cell
* crystal system: tetragonal
* E_form (uncorrected): -1232 meV/atom



| no. | E_tot (eV per cell) |
| --- | --- |
| 1 | -74.5 |
| 2 | -81.9 |
| 3 | -24.7 |
| 4 | -246.2 |
| 5 | -126.1 |
| 6 | -118.5 |
| 7 | -175.5 |
| 8 | -64.8 |
| 9 | -84.5 |
| 10 | -21.8 |
| 11 | -230.4 |
| 12 | -118.5 |